w) Here is a relaxed structure of NdDy8Th2 from the Alexandria database. Energies are from PBE.

Cell: 5.5620 10.1619 10.1619 Å, 40.49 92.08 92.08°
Closest atoms and distances in Å follow each position.
Sites, in units of the cell vectors:
Nd 0.0000 0.0000 0.0000  10 Dy 3.52-3.85
Th 0.7388 0.2825 0.2825  9 Dy 3.24-3.58
Th 0.2612 0.7175 0.7175  9 Dy 3.24-3.58
Dy 0.2331 0.1832 0.1832  4 Th 3.33-3.58, 4 Dy 3.45-3.55, 1 Nd 3.68
Dy 0.2622 0.1374 0.5977  4 Dy 3.24-3.55, 2 Th 3.43-3.55, 1 Nd 3.52
Dy 0.7378 0.8626 0.4023  4 Dy 3.24-3.55, 2 Th 3.43-3.55, 1 Nd 3.52
Dy 0.7669 0.8168 0.8168  4 Th 3.33-3.58, 4 Dy 3.45-3.55, 1 Nd 3.68
Dy 0.2622 0.5977 0.1374  4 Dy 3.24-3.55, 2 Th 3.43-3.55, 1 Nd 3.52
Dy 0.7378 0.4023 0.8626  4 Dy 3.24-3.55, 2 Th 3.43-3.55, 1 Nd 3.52
Dy 0.2387 0.5473 0.5473  2 Dy 3.15-3.48, 1 Th 3.24
Dy 0.7613 0.4527 0.4527  2 Dy 3.15-3.48, 1 Th 3.24

Computed properties:
density of states at the Fermi level	16.675	states/eV per cell

x) Here is a relaxed structure of NdDy8Th2 from the Alexandria database. Energies are from PBE.

Cell: 5.9578 7.5708 9.2374 Å, 111.64 105.60 97.44°
Closest atoms and distances in Å follow each position.
Sites, in units of the cell vectors:
Th 0.6940 0.6932 0.3867  8 Dy 3.37-3.47
Th 0.3060 0.3068 0.6133  8 Dy 3.37-3.47
Dy 0.7085 0.2089 0.4182  2 Th 3.37, 1 Nd 3.37, 6 Dy 3.53-3.72
Dy 0.2803 0.5735 0.0006  3 Dy 2.98-3.25, 1 Nd 3.33
Dy 0.9220 0.1003 0.7636  4 Dy 3.24-3.54, 2 Th 3.45-3.46
Dy 0.1577 0.3369 0.2364  4 Dy 3.25-3.53, 2 Th 3.46-3.47
Dy 0.8423 0.6631 0.7636  4 Dy 3.25-3.53, 2 Th 3.46-3.47
Dy 0.2915 0.7911 0.5818  2 Th 3.37, 1 Nd 3.37, 6 Dy 3.53-3.72
Dy 0.7197 0.4265 0.9994  3 Dy 2.98-3.25, 1 Nd 3.33
Dy 0.0780 0.8997 0.2364  4 Dy 3.24-3.54, 2 Th 3.45-3.46
Nd 0.5000 0.0000 0.0000  4 Dy 3.33-3.37

Computed properties:
density of states at the Fermi level	14.823	states/eV per cell

Which of them is the most stable, and which is the least stable? w) and x), in that order.

w) Here is a relaxed structure of Nd3Dy4Th from the Alexandria database. Energies are from PBE.

Cell: 6.3011 7.2620 11.6438 Å, 90.00 90.00 90.00°
Closest atoms and distances in Å follow each position.
Sites, in units of the cell vectors:
Dy 0.1468 0.8773 0.0000  6 Dy 3.55-3.66, 2 Th 3.58-3.68, 4 Nd 3.59-3.68
Dy 0.1500 0.8724 0.5000  4 Nd 3.58-3.68, 6 Dy 3.58-3.66, 2 Th 3.60-3.62
Dy 0.4861 0.8751 0.7482  6 Dy 3.55-3.64, 1 Th 3.55, 5 Nd 3.58-3.70
Dy 0.4861 0.8751 0.2518  6 Dy 3.55-3.64, 1 Th 3.55, 5 Nd 3.58-3.70
Dy 0.9861 0.1249 0.7518  6 Dy 3.55-3.64, 1 Th 3.55, 5 Nd 3.58-3.70
Dy 0.9861 0.1249 0.2482  6 Dy 3.55-3.64, 1 Th 3.55, 5 Nd 3.58-3.70
Dy 0.6468 0.1227 0.5000  6 Dy 3.55-3.66, 2 Th 3.58-3.68, 4 Nd 3.59-3.68
Dy 0.6500 0.1276 0.0000  4 Nd 3.58-3.68, 6 Dy 3.58-3.66, 2 Th 3.60-3.62
Th 0.1514 0.3709 0.0000  6 Dy 3.55-3.68, 6 Nd 3.58-3.68
Th 0.6514 0.6291 0.5000  6 Dy 3.55-3.68, 6 Nd 3.58-3.68
Nd 0.4754 0.3766 0.7480  4 Nd 3.56-3.63, 2 Th 3.58-3.60, 6 Dy 3.58-3.70
Nd 0.9754 0.6234 0.2480  4 Nd 3.56-3.63, 2 Th 3.58-3.60, 6 Dy 3.58-3.70
Nd 0.9754 0.6234 0.7520  4 Nd 3.56-3.63, 2 Th 3.58-3.60, 6 Dy 3.58-3.70
Nd 0.1440 0.3794 0.5000  4 Nd 3.56-3.59, 6 Dy 3.58-3.68, 2 Th 3.60-3.68
Nd 0.6440 0.6206 0.0000  4 Nd 3.56-3.59, 6 Dy 3.58-3.68, 2 Th 3.60-3.68
Nd 0.4754 0.3766 0.2520  4 Nd 3.56-3.63, 2 Th 3.58-3.60, 6 Dy 3.58-3.70

Computed properties:
density of states at the Fermi level	29.282	states/eV per cell

x) Here is a relaxed structure of Nd3Dy4Th from the Alexandria database. Energies are from PBE.

Cell: 3.4444 8.9856 8.9856 Å, 81.19 78.95 78.95°
Closest atoms and distances in Å follow each position.
Sites, in units of the cell vectors:
Th 0.5000 0.0000 0.0000  4 Dy 3.43, 2 Th 3.44, 4 Nd 3.51
Dy 0.6332 0.1188 0.6149  5 Nd 3.41-3.80, 1 Th 3.43, 5 Dy 3.44-3.53
Dy 0.3668 0.8812 0.3851  5 Nd 3.41-3.80, 1 Th 3.43, 5 Dy 3.44-3.53
Dy 0.6332 0.6149 0.1188  5 Nd 3.41-3.80, 1 Th 3.43, 5 Dy 3.44-3.53
Dy 0.3668 0.3851 0.8812  5 Nd 3.41-3.80, 1 Th 3.43, 5 Dy 3.44-3.53
Nd 0.2316 0.7684 0.7684  6 Dy 3.41-3.65, 2 Nd 3.44, 2 Th 3.51
Nd 0.0000 0.5000 0.5000  2 Nd 3.44, 8 Dy 3.80
Nd 0.7684 0.2316 0.2316  6 Dy 3.41-3.65, 2 Nd 3.44, 2 Th 3.51

Computed properties:
density of states at the Fermi level	11.877	states/eV per cell

Which of them is the most stable, and which is the least stable? w) and x), in that order.

w) Here is a relaxed structure of Nd3DyTh from the Alexandria database. Energies are from PBE.

Cell: 3.6385 3.6385 29.5565 Å, 90.00 90.00 120.00°
Closest atoms and distances in Å follow each position.
Sites, in units of the cell vectors:
Nd 0.3333 0.6667 0.4283  3 Th 3.55, 9 Nd 3.64-3.76
Nd 0.6667 0.3333 0.9283  3 Th 3.55, 9 Nd 3.64-3.76
Nd 0.0000 0.0000 0.8230  3 Dy 3.56, 9 Nd 3.64-3.76
Nd 0.0000 0.0000 0.3230  3 Dy 3.56, 9 Nd 3.64-3.76
Nd 0.6667 0.3333 0.6229  3 Th 3.57, 6 Nd 3.64, 3 Dy 3.69
Nd 0.3333 0.6667 0.1229  3 Th 3.57, 6 Nd 3.64, 3 Dy 3.69
Dy 0.6667 0.3333 0.2255  6 Nd 3.56-3.69, 6 Dy 3.64
Dy 0.3333 0.6667 0.7255  6 Nd 3.56-3.69, 6 Dy 3.64
Th 0.0000 0.0000 0.0253  6 Nd 3.55-3.57, 6 Th 3.64
Th 0.0000 0.0000 0.5253  6 Nd 3.55-3.57, 6 Th 3.64

Computed properties:
density of states at the Fermi level	15.840	states/eV per cell

x) Here is a relaxed structure of Nd3DyTh from the Alexandria database. Energies are from PBE.

Cell: 6.8562 6.8562 9.2543 Å, 68.26 68.26 60.00°
Closest atoms and distances in Å follow each position.
Sites, in units of the cell vectors:
Nd 0.3786 0.3782 0.3434  6 Nd 3.28-3.58, 2 Dy 3.47-3.51, 2 Th 3.60-3.61
Nd 0.8999 0.3786 0.3434  6 Nd 3.28-3.58, 2 Dy 3.47-3.51, 2 Th 3.60-3.61
Nd 0.6218 0.1001 0.6566  6 Nd 3.28-3.58, 2 Dy 3.47-3.51, 2 Th 3.60-3.61
Nd 0.3782 0.8999 0.3434  6 Nd 3.28-3.58, 2 Dy 3.47-3.51, 2 Th 3.60-3.61
Nd 0.1001 0.6214 0.6566  6 Nd 3.28-3.58, 2 Dy 3.47-3.51, 2 Th 3.60-3.61
Nd 0.6214 0.6218 0.6566  6 Nd 3.28-3.58, 2 Dy 3.47-3.51, 2 Th 3.60-3.61
Dy 0.6632 0.6632 0.0105  6 Nd 3.47-3.51
Dy 0.3368 0.3368 0.9895  6 Nd 3.47-3.51
Th 0.9300 0.9300 0.2101  1 Th 3.52, 6 Nd 3.60-3.61
Th 0.0700 0.0700 0.7899  1 Th 3.52, 6 Nd 3.60-3.61

Computed properties:
density of states at the Fermi level	19.079	states/eV per cell

Which of them is the most stable, and which is the least stable? w) and x), in that order.

w) Here is a relaxed structure of NdDy4Th2 from the Alexandria database. Energies are from PBE.

Cell: 3.5141 9.5083 8.7844 Å, 121.97 78.49 111.66°
Closest atoms and distances in Å follow each position.
Sites, in units of the cell vectors:
Nd 0.0000 0.0000 0.0000  2 Th 3.42, 2 Nd 3.51, 4 Dy 3.64
Dy 0.1984 0.8459 0.2938  7 Dy 3.51-3.77, 4 Th 3.62-3.72, 2 Nd 3.84-3.85
Dy 0.8016 0.1541 0.7062  7 Dy 3.51-3.77, 4 Th 3.62-3.72, 2 Nd 3.84-3.85
Dy 0.5894 0.2951 0.4126  3 Th 3.38-3.63, 7 Dy 3.51-3.77, 2 Nd 3.64
Dy 0.4106 0.7049 0.5874  3 Th 3.38-3.63, 7 Dy 3.51-3.77, 2 Nd 3.64
Th 0.6319 0.5636 0.8621  1 Th 3.09, 1 Dy 3.38, 1 Nd 3.42
Th 0.3681 0.4364 0.1379  1 Th 3.09, 1 Dy 3.38, 1 Nd 3.42

Computed properties:
density of states at the Fermi level	11.941	states/eV per cell

x) Here is a relaxed structure of NdDy4Th2 from the Alexandria database. Energies are from PBE.

Cell: 5.6224 5.6224 9.1872 Å, 107.82 107.82 90.00°
Closest atoms and distances in Å follow each position.
Sites, in units of the cell vectors:
Nd 0.0000 0.0000 0.0000  6 Dy 2.81-3.00
Dy 0.5000 0.0000 0.0000  2 Nd 2.81
Dy 0.8190 0.8190 0.6380  1 Nd 3.00
Dy 0.1810 0.1810 0.3620  1 Nd 3.00
Dy 0.0000 0.5000 0.0000  2 Nd 2.81
Th 0.6122 0.6122 0.2245  5 Dy 3.37-3.43, 1 Th 3.72
Th 0.3878 0.3878 0.7755  5 Dy 3.37-3.43, 1 Th 3.72

Computed properties:
density of states at the Fermi level	12.362	states/eV per cell

Which of them is the most stable, and which is the least stable? w) and x), in that order.